VASP calculation (PBE-GGA) on crystalline La2NiGeC at its relaxed geometry.

Properties
**Mass density**: 6.55 g/cm³
**E_form**: -0.4022 eV/atom
**E**: -6.298 eV per atom

abc: 5.4106 5.4106 3.6445
angles: 90.00 90.00 90.00
With the nearest neighbours (Å) after each atom.
Fractional coordinates of all 5 atoms:
Ge1 0.5000 0.5000 0.5000  8 La 3.26, 2 Ge 3.64
La1 0.5000 0.0000 0.0000  2 C 2.71
La2 0.0000 0.5000 0.0000  2 C 2.71
Ni1 0.0000 0.0000 0.5000  2 C 1.82
C1 0.0000 0.0000 0.0000  2 Ni 1.82